Record 1
Computed, not measured: a relaxed La2CdRe crystal at the PBE-GGA level of DFT.

a b c (Å): 4.6211 4.6211 9.1763
angles (deg): 90.00 90.00 90.00
With the nearest neighbours (Å) after each atom.
Space group I-4m2 (No. 119)
Inequivalent atoms, fractional coordinates:
1 La 0.0000 0.0000 0.0000 (multiplicity 2)  4 La 3.26, 4 Re 3.26, 4 Cd 3.27
2 La 0.0000 0.5000 0.2500 (multiplicity 2)  4 Cd 3.26, 4 La 3.26, 4 Re 3.27
3 Cd 0.0000 0.0000 0.5000 (multiplicity 2)  8 La 3.26-3.27, 4 Re 3.26
4 Re 0.0000 0.5000 0.7500 (multiplicity 2)  4 Cd 3.26, 8 La 3.26-3.27

Values from the calculation:
The total energy comes out at -43.86 eV for the cell shown. The energy relative to the elements is 0.322 eV/atom. The total magnetization comes out at 0.00 μB per formula unit.

=====

Record 2
Computed, not measured: a relaxed LaCd2Re crystal at the PBE-GGA level of DFT.

a b c (Å): 10.8180 3.0187 5.8176
angles (deg): 90.00 106.84 90.00
With the nearest neighbours (Å) after each atom.
Space group Cm (No. 8)
Inequivalent atoms, fractional coordinates:
1 La 0.0000 0.0000 0.0000 (multiplicity 2)  3 Re 2.87-3.02, 2 La 3.02
2 Cd 0.1955 0.0000 0.6265 (multiplicity 2)  5 Cd 2.94-3.17, 2 Re 2.96
3 Cd 0.4261 0.0000 0.4556 (multiplicity 2)  2 Re 2.87, 5 Cd 2.94-3.17
4 Re 0.2505 0.5000 0.0823 (multiplicity 2)  4 Cd 2.87-2.96, 3 La 2.87-3.02, 2 Re 3.02

Values from the calculation:
The total energy comes out at -35.22 eV for the cell shown. For the energy above the most stable polymorph in this dataset, the calculation gives 105 meV per atom. The energy relative to the elements is 0.399 eV/atom. The total magnetization comes out at 0.00 μB per formula unit.

=====

Record 3
Computed, not measured: a relaxed La2CdRe crystal at the PBE-GGA level of DFT.

a b c (Å): 12.5037 3.5822 5.2088
angles (deg): 90.00 114.61 90.00
With the nearest neighbours (Å) after each atom.
Space group Cm (No. 8)
Inequivalent atoms, fractional coordinates:
1 La 0.0000 0.0000 0.0000 (multiplicity 2)  2 Re 2.93
2 La 0.1932 0.0000 0.6928 (multiplicity 2)  4 Re 3.16-3.17, 2 La 3.41, 2 Cd 3.50
3 Cd 0.3985 0.0000 0.3985 (multiplicity 2)  2 Re 2.84
4 Re 0.2042 0.5000 0.2029 (multiplicity 2)  2 Cd 2.84, 6 La 2.93-3.17

Values from the calculation:
The total energy comes out at -44.77 eV for the cell shown. The energy relative to the elements is 0.208 eV/atom. The total magnetization comes out at 0.00 μB per formula unit.

=====

Record 4
Computed, not measured: a relaxed LaCd2Re crystal at the PBE-GGA level of DFT.

a b c (Å): 5.8562 9.8768 3.0154
angles (deg): 90.00 90.00 90.00
With the nearest neighbours (Å) after each atom.
Space group Cmmm (No. 65)
Inequivalent atoms, fractional coordinates:
1 La 0.0000 0.0000 0.0000 (multiplicity 2)  2 Re 2.93, 2 La 3.02, 8 Cd 3.24
2 Cd 0.2500 0.2500 0.5000 (multiplicity 4)  4 Cd 2.93-3.02, 4 La 3.24, 4 Re 3.24
3 Re 0.0000 0.5000 0.0000 (multiplicity 2)  2 La 2.93, 2 Re 3.02, 8 Cd 3.24

Values from the calculation:
The total energy comes out at -34.29 eV for the cell shown. For the energy above the most stable polymorph in this dataset, the calculation gives 221 meV per atom. The energy relative to the elements is 0.515 eV/atom. The total magnetization comes out at 0.00 μB per formula unit.

=====

Look up the energy relative to the elements of the second one.
0.399 eV/atom

=====

Repeat the first record exactly.
Computed, not measured: a relaxed La2CdRe crystal at the PBE-GGA level of DFT.

a b c (Å): 4.6211 4.6211 9.1763
angles (deg): 90.00 90.00 90.00
With the nearest neighbours (Å) after each atom.
Space group I-4m2 (No. 119)
Inequivalent atoms, fractional coordinates:
1 La 0.0000 0.0000 0.0000 (multiplicity 2)  4 La 3.26, 4 Re 3.26, 4 Cd 3.27
2 La 0.0000 0.5000 0.2500 (multiplicity 2)  4 Cd 3.26, 4 La 3.26, 4 Re 3.27
3 Cd 0.0000 0.0000 0.5000 (multiplicity 2)  8 La 3.26-3.27, 4 Re 3.26
4 Re 0.0000 0.5000 0.7500 (multiplicity 2)  4 Cd 3.26, 8 La 3.26-3.27

Values from the calculation:
The total energy comes out at -43.86 eV for the cell shown. The energy relative to the elements is 0.322 eV/atom. The total magnetization comes out at 0.00 μB per formula unit.